4
Lattice="4.688 0.000 0.000 0.000 4.688 0.000 0.000 0.000 4.688" Properties=species:S:1:pos:R:3 comment="Ce3In GGA-PBEsol optimized geometry" formation_energy_mev_per_atom=-155 e_tot_ev_per_atom=-5.847 magnetic_moment_mub_per_atom=0.51 pbc="T T T"
Ce 2.344 2.344 0.000
Ce 2.344 0.000 2.344
Ce 0.000 2.344 2.344
In 0.000 0.000 0.000